Entry 1:
Compound: Li2TeRh
Source: the Alexandria database
Functional: PBE-GGA
Structure: optimized geometry

Lattice parameters (Å, degrees): 3.0298 3.0298 7.9032 90.00 90.00 90.34
Site moments in Bohr magnetons follow the coordinates.
Atoms (fractional coordinates):
Li1 0.0000 0.0000 0.4547  -0.01
Li2 0.0000 0.0000 0.0453  -0.01
Rh1 0.5000 0.5000 0.2500  0.47
Te1 0.5000 0.5000 0.7500  0.00

- DOS at the Fermi energy (states/eV per cell) = 3.8
- size of the total moment (μB/f.u.) = 0.477
- raw formation energy (eV/atom) = -0.10


Entry 2:
Compound: HoSc2Ga2
Source: the Alexandria database
Functional: PBE-GGA
Structure: optimized geometry

Lattice parameters (Å, degrees): 3.7742 5.1544 11.9053 96.40 90.00 90.00
Site moments in Bohr magnetons follow the coordinates.
Atoms (fractional coordinates):
Ga1 0.2500 0.7902 0.6585  0.00
Ga2 0.7500 0.2098 0.3415  0.00
Ga3 0.2500 0.3516 0.9665  0.00
Ga4 0.7500 0.6484 0.0335  0.00
Sc1 0.7500 0.7420 0.4717  0.24
Sc2 0.7500 0.1524 0.1058  0.04
Sc3 0.2500 0.8476 0.8942  0.04
Sc4 0.2500 0.2580 0.5283  0.24
Ho1 0.2500 0.6798 0.2331  0.12
Ho2 0.7500 0.3202 0.7669  0.12

- formation energy (eV/atom) = -0.3831
- DOS at the Fermi energy (states/eV per cell) = 10.1
- size of the total moment (μB/f.u.) = 0.674


Entry 3:
Compound: LiP2Pb
Source: the Alexandria database
Functional: PBE-GGA
Structure: optimized geometry

Lattice parameters (Å, degrees): 6.0460 6.0460 4.0395 77.38 77.38 36.18
Atoms (fractional coordinates):
Li1 0.7233 0.7233 0.6909
P1 0.2425 0.2425 0.1573
P2 0.0710 0.0710 0.0432
Pb1 0.4632 0.4632 0.6086

- formation energy (eV/atom) = -0.0860
- DOS at the Fermi energy (states/eV per cell) = 1.6
- size of the total moment (μB/f.u.) = 0.000


Entry 4:
Compound: BeHgOs2
Source: the Alexandria database
Functional: PBE-GGA
Structure: optimized geometry

Lattice parameters (Å, degrees): 4.5805 4.5805 5.0548 84.64 84.64 36.52
Atoms (fractional coordinates):
Be1 0.4779 0.4779 0.5711
Os1 0.7450 0.7450 0.7491
Os2 0.0100 0.0100 0.9213
Hg1 0.2671 0.2671 0.2584

- formation energy (eV/atom) = 0.5847
- DOS at the Fermi energy (states/eV per cell) = 3.0
- size of the total moment (μB/f.u.) = 0.000
- polymorph energy (0 for the lowest one) (kJ/mol of atoms) = 30.3


Entry 5:
Compound: LiAc2Bi2
Source: the Alexandria database
Functional: PBE-GGA
Structure: optimized geometry

Lattice parameters (Å, degrees): 6.9410 7.0328 8.5945 114.15 113.82 90.00
Atoms (fractional coordinates):
Ac1 0.6404 0.9243 0.2807
Ac2 0.8596 0.6436 0.7193
Ac3 0.1404 0.3564 0.2807
Ac4 0.3596 0.0757 0.7193
Li1 0.7500 0.5000 0.0000
Li2 0.2500 0.5000 0.0000
Bi1 0.8844 0.1537 0.7689
Bi2 0.6156 0.3848 0.2311
Bi3 0.3844 0.6152 0.7689
Bi4 0.1156 0.8463 0.2311

- formation energy (eV/atom) = -0.7995
- DOS at the Fermi energy (states/eV per cell) = 4.8
- size of the total moment (μB/f.u.) = 0.000


Entry 6:
Compound: Er4Te2Rh
Source: the Alexandria database
Functional: PBE-GGA
Structure: optimized geometry

Lattice parameters (Å, degrees): 4.1992 7.8332 12.3013 90.00 90.00 90.00
Atoms (fractional coordinates):
Rh1 0.0000 0.5000 0.0000
Rh2 0.0000 0.0000 0.5000
Er1 0.5000 0.7972 0.5546
Er2 0.0000 0.8610 0.3017
Er3 0.0000 0.6390 0.8017
Er4 0.5000 0.2028 0.4454
Er5 0.0000 0.1390 0.6983
Er6 0.5000 0.7028 0.0546
Er7 0.5000 0.2972 0.9454
Er8 0.0000 0.3610 0.1983
Te1 0.5000 0.4315 0.6662
Te2 0.5000 0.9315 0.8338
Te3 0.5000 0.0685 0.1662
Te4 0.5000 0.5685 0.3338

- DOS at the Fermi energy (states/eV per cell) = 7.6
- size of the total moment (μB/f.u.) = 0.000
- raw formation energy (eV/atom) = -0.98


Entry 7:
Compound: As2RuBr
Source: the Alexandria database
Functional: PBE-GGA
Structure: optimized geometry

Lattice parameters (Å, degrees): 3.2148 4.5102 4.9074 90.00 90.00 90.00
Atoms (fractional coordinates):
Ru1 0.0000 0.5000 0.5000
Br1 0.5000 0.0000 0.5000
As1 0.5000 0.5000 0.0000
As2 0.0000 0.0000 0.0000

- DOS at the Fermi energy (states/eV per cell) = 2.0
- size of the total moment (μB/f.u.) = 0.000
- raw formation energy (eV/atom) = 0.67
- polymorph energy (0 for the lowest one) (kJ/mol of atoms) = 72.0


Entry 8:
Compound: HfGaI2O
Source: the Alexandria database
Functional: PBE-GGA
Structure: optimized geometry

Lattice parameters (Å, degrees): 5.8106 5.8106 3.5896 90.00 90.00 90.00
Site moments in Bohr magnetons follow the coordinates.
Atoms (fractional coordinates):
I1 0.5000 0.0000 0.0000  -0.01
I2 0.0000 0.5000 0.0000  -0.01
Ga1 0.0000 0.0000 0.0000  0.02
Hf1 0.5000 0.5000 0.5000  0.83
O1 0.0000 0.0000 0.5000  0.01

- DOS at the Fermi energy (states/eV per cell) = 4.7
- size of the total moment (μB/f.u.) = 1.388
- raw formation energy (eV/atom) = -0.07
- polymorph energy (0 for the lowest one) (kJ/mol of atoms) = 94.8


Entry 9:
Compound: AlHg
Source: the Alexandria database
Functional: PBE-GGA
Structure: optimized geometry

Lattice parameters (Å, degrees): 3.0247 3.0247 10.9939 90.00 90.00 120.00
Atoms (fractional coordinates):
Hg1 0.0000 0.0000 0.4751
Hg2 0.6667 0.3333 0.7749
Al1 0.6667 0.3333 0.2296
Al2 0.0000 0.0000 0.0204

- formation energy (eV/atom) = 0.1794
- DOS at the Fermi energy (states/eV per cell) = 1.0
- size of the total moment (μB/f.u.) = 0.000


Entry 10:
Compound: LaIrPd2
Source: the Alexandria database
Functional: PBE-GGA
Structure: optimized geometry

Lattice parameters (Å, degrees): 4.7591 4.7591 4.7591 60.00 60.00 60.00
Atoms (fractional coordinates):
La1 0.0000 0.0000 0.0000
Pd1 0.7500 0.7500 0.7500
Pd2 0.2500 0.2500 0.2500
Ir1 0.5000 0.5000 0.5000

- formation energy (eV/atom) = -0.2900
- DOS at the Fermi energy (states/eV per cell) = 2.8
- size of the total moment (μB/f.u.) = 0.000
- polymorph energy (0 for the lowest one) (kJ/mol of atoms) = 0.0


Entry 11:
Compound: Mg5BRh6
Source: the Alexandria database
Functional: PBE-GGA
Structure: optimized geometry

Lattice parameters (Å, degrees): 4.3351 6.2063 7.4065 65.29 72.99 90.22
Atoms (fractional coordinates):
Rh1 0.8496 0.0763 0.2995
Rh2 0.5038 0.7870 0.0000
Rh3 0.4962 0.2130 0.0000
Rh4 0.8508 0.6243 0.2994
Rh5 0.1492 0.3757 0.7006
Rh6 0.1504 0.9237 0.7005
Mg1 0.0000 0.5000 0.0000
Mg2 0.6845 0.1844 0.6313
Mg3 0.6617 0.6620 0.6762
Mg4 0.3383 0.3380 0.3238
Mg5 0.3155 0.8156 0.3687
B1 0.0000 0.0000 0.0000

- formation energy (eV/atom) = -0.3756
- DOS at the Fermi energy (states/eV per cell) = 10.6
- size of the total moment (μB/f.u.) = 0.000


Entry 12:
Compound: NaBSN2
Source: the Alexandria database
Functional: PBE-GGA
Structure: optimized geometry

Lattice parameters (Å, degrees): 3.3764 3.3764 5.0167 90.00 90.00 90.00
Site moments in Bohr magnetons follow the coordinates.
Atoms (fractional coordinates):
S1 0.0000 0.0000 0.5000  0.44
N1 0.0000 0.5000 0.0000  0.26
N2 0.5000 0.0000 0.0000  0.26
Na1 0.5000 0.5000 0.5000  0.01
B1 0.0000 0.0000 0.0000  -0.03

- DOS at the Fermi energy (states/eV per cell) = 2.3
- size of the total moment (μB/f.u.) = 1.318
- raw formation energy (eV/atom) = 1.14


Entry 13:
Compound: CsLi3B
Source: the Alexandria database
Functional: PBE-GGA
Structure: optimized geometry

Lattice parameters (Å, degrees): 4.8534 4.8534 4.8534 90.00 90.00 90.00
Site moments in Bohr magnetons follow the coordinates.
Atoms (fractional coordinates):
Cs1 0.5000 0.5000 0.5000  0.01
B1 0.0000 0.0000 0.0000  0.29
Li1 0.0000 0.5000 0.0000  0.01
Li2 0.0000 0.0000 0.5000  0.03
Li3 0.5000 0.0000 0.0000  0.00

- formation energy (eV/atom) = 0.5175
- DOS at the Fermi energy (states/eV per cell) = 2.9
- size of the total moment (μB/f.u.) = 0.998
- polymorph energy (0 for the lowest one) (kJ/mol of atoms) = 0.0


Entry 14:
Compound: SiSbPt
Source: the Alexandria database
Functional: PBE-GGA
Structure: optimized geometry

Lattice parameters (Å, degrees): 6.3949 6.4625 6.4526 115.55 90.00 90.00
Atoms (fractional coordinates):
Sb1 0.8774 0.8523 0.1619
Sb2 0.3774 0.6477 0.8381
Sb3 0.1226 0.1477 0.8381
Sb4 0.6226 0.3523 0.1619
Pt1 0.9836 0.7112 0.7120
Pt2 0.5164 0.2112 0.7120
Pt3 0.0164 0.2888 0.2880
Pt4 0.4836 0.7888 0.2880
Si1 0.6405 0.8314 0.6512
Si2 0.8595 0.3314 0.6512
Si3 0.3595 0.1686 0.3488
Si4 0.1405 0.6686 0.3488

- DOS at the Fermi energy (states/eV per cell) = 0.5
- size of the total moment (μB/f.u.) = 0.000
- raw formation energy (eV/atom) = -0.49


Entry 15:
Compound: LaNiGe2
Source: the Alexandria database
Functional: PBE-GGA
Structure: optimized geometry

Lattice parameters (Å, degrees): 4.8242 4.8242 8.5871 73.69 73.69 90.00
Atoms (fractional coordinates):
La1 0.7500 0.2500 0.5000
La2 0.0000 0.0000 0.0000
Ni1 0.2500 0.7500 0.5000
Ni2 0.5000 0.5000 0.0000
Ge1 0.3750 0.5477 0.7500
Ge2 0.2977 0.6250 0.2500
Ge3 0.4523 0.1250 0.2500
Ge4 0.8750 0.7023 0.7500

- formation energy (eV/atom) = -0.4330
- DOS at the Fermi energy (states/eV per cell) = 1.6
- size of the total moment (μB/f.u.) = 0.000


Entry 16:
Compound: NiBiH3
Source: the Alexandria database
Functional: PBE-GGA
Structure: optimized geometry

Lattice parameters (Å, degrees): 3.6442 3.6442 3.6442 90.00 90.00 90.00
Atoms (fractional coordinates):
Ni1 0.0000 0.0000 0.0000
Bi1 0.5000 0.5000 0.5000
H1 0.5000 0.0000 0.0000
H2 0.0000 0.5000 0.0000
H3 0.0000 0.0000 0.5000

- DOS at the Fermi energy (states/eV per cell) = 1.7
- size of the total moment (μB/f.u.) = 0.000
- polymorph energy (0 for the lowest one) (kJ/mol of atoms) = 0.0


Entry 17:
Compound: SmNpZn17
Source: the Alexandria database
Functional: PBE-GGA
Structure: optimized geometry

Lattice parameters (Å, degrees): 6.8112 6.8112 6.8112 82.69 82.69 82.69
Site moments in Bohr magnetons follow the coordinates.
Atoms (fractional coordinates):
Zn1 0.1640 0.6451 0.6451  0.00
Zn2 0.2953 0.0007 0.7039  0.00
Zn3 0.0001 0.5001 0.0001  0.00
Zn4 0.3510 0.3510 0.8419  0.00
Zn5 0.5001 0.0001 0.0001  0.00
Zn6 0.0007 0.2953 0.7039  0.00
Zn7 0.2953 0.7039 0.0007  0.00
Zn8 0.0007 0.7039 0.2953  0.00
Zn9 0.6451 0.6451 0.1640  0.00
Zn10 0.3510 0.8419 0.3510  0.00
Zn11 0.0001 0.0001 0.5001  0.00
Zn12 0.7039 0.2953 0.0007  0.00
Zn13 0.1008 0.1008 0.1008  0.00
Zn14 0.6451 0.1640 0.6451  0.00
Zn15 0.9015 0.9015 0.9015  -0.01
Zn16 0.7039 0.0007 0.2953  0.00
Zn17 0.8419 0.3510 0.3510  0.00
Np1 0.3350 0.3350 0.3350  3.96
Sm1 0.6643 0.6643 0.6643  -0.03

- formation energy (eV/atom) = -0.1519
- DOS at the Fermi energy (states/eV per cell) = 14.0
- size of the total moment (μB/f.u.) = 4.174


Entry 18:
Compound: La2PmZn6
Source: the Alexandria database
Functional: PBE-GGA
Structure: optimized geometry

Lattice parameters (Å, degrees): 3.6476 8.0033 8.0033 120.00 90.00 90.00
Atoms (fractional coordinates):
Zn1 0.5000 0.6702 0.0000
Zn2 0.5000 0.0000 0.6702
Zn3 0.5000 0.3298 0.0000
Zn4 0.5000 0.0000 0.3298
Zn5 0.5000 0.3298 0.3298
Zn6 0.5000 0.6702 0.6702
La1 0.0000 0.3333 0.6667
La2 0.0000 0.6667 0.3333
Pm1 0.0000 0.0000 0.0000

- formation energy (eV/atom) = -0.3519
- DOS at the Fermi energy (states/eV per cell) = 8.2
- size of the total moment (μB/f.u.) = 0.002


Entry 19:
Compound: MgAgSe2
Source: the Alexandria database
Functional: PBE-GGA
Structure: optimized geometry

Lattice parameters (Å, degrees): 3.4978 3.4978 6.6799 90.00 90.00 90.00
Atoms (fractional coordinates):
Mg1 0.5000 0.5000 0.7500
Se1 0.0000 0.0000 0.5177
Se2 0.0000 0.0000 0.9823
Ag1 0.5000 0.5000 0.2500

- DOS at the Fermi energy (states/eV per cell) = 1.8
- size of the total moment (μB/f.u.) = 0.000
- raw formation energy (eV/atom) = -0.26


Entry 20:
Compound: CaZrRh
Source: the Alexandria database
Functional: PBE-GGA
Structure: optimized geometry

Lattice parameters (Å, degrees): 4.6068 4.6068 7.0799 90.00 90.00 90.00
Atoms (fractional coordinates):
Zr1 0.5000 0.5000 0.5000
Zr2 0.0000 0.0000 0.5000
Ca1 0.5000 0.0000 0.1308
Ca2 0.0000 0.5000 0.8692
Rh1 0.0000 0.5000 0.3076
Rh2 0.5000 0.0000 0.6924

- formation energy (eV/atom) = -0.4920
- DOS at the Fermi energy (states/eV per cell) = 6.6
- size of the total moment (μB/f.u.) = 0.000
- polymorph energy (0 for the lowest one) (kJ/mol of atoms) = 0.0


Entry 21:
Compound: BaLaOsO6
Source: the Alexandria database
Functional: PBE-GGA
Structure: optimized geometry

Lattice parameters (Å, degrees): 5.8244 5.8243 5.5103 90.00 90.00 59.99
Site moments in Bohr magnetons follow the coordinates.
Atoms (fractional coordinates):
O1 0.0586 0.3421 0.3025  0.04
O2 0.3422 0.5992 0.3025  0.04
O3 0.3420 0.0586 0.6975  0.04
O4 0.5994 0.0585 0.3025  0.04
O5 0.0585 0.5994 0.6974  0.04
O6 0.5992 0.3422 0.6975  0.04
Ba1 0.9999 0.0000 0.0000  0.01
La1 0.6666 0.6667 0.5000  0.02
Os1 0.3333 0.3333 0.5000  0.66

- DOS at the Fermi energy (states/eV per cell) = 5.5
- size of the total moment (μB/f.u.) = 1.039
- raw formation energy (eV/atom) = -2.10


Entry 22:
Compound: BaFe2Mo
Source: the Alexandria database
Functional: PBE-GGA
Structure: optimized geometry

Lattice parameters (Å, degrees): 6.2232 6.2232 3.6317 125.74 125.74 84.41
Site moments in Bohr magnetons follow the coordinates.
Atoms (fractional coordinates):
Mo1 0.4166 0.5834 0.0000  -0.72
Fe1 0.0751 0.9249 0.0000  2.54
Fe2 0.2513 0.7487 0.5000  0.48
Ba1 0.7569 0.2431 0.5000  -0.06

- formation energy (eV/atom) = 1.0356
- DOS at the Fermi energy (states/eV per cell) = 4.8
- size of the total moment (μB/f.u.) = 2.027
- polymorph energy (0 for the lowest one) (kJ/mol of atoms) = 48.7


Entry 23:
Compound: LaCrGe3
Source: the Alexandria database
Functional: PBE-GGA
Structure: optimized geometry

Lattice parameters (Å, degrees): 4.6920 4.6920 4.6920 90.00 90.00 90.00
Atoms (fractional coordinates):
Ge1 0.5000 0.0000 0.0000
Ge2 0.0000 0.5000 0.0000
Ge3 0.0000 0.0000 0.5000
La1 0.5000 0.5000 0.5000
Cr1 0.0000 0.0000 0.0000

- formation energy (eV/atom) = -0.2276
- DOS at the Fermi energy (states/eV per cell) = 3.5
- size of the total moment (μB/f.u.) = 0.000


Entry 24:
Compound: SrAcHo2
Source: the Alexandria database
Functional: PBE-GGA
Structure: optimized geometry

Lattice parameters (Å, degrees): 3.7161 3.7161 13.2434 81.93 81.93 60.00
Atoms (fractional coordinates):
Ac1 0.5000 0.5000 0.5000
Sr1 0.0000 0.0000 0.0000
Ho1 0.9092 0.9092 0.2724
Ho2 0.0908 0.0908 0.7276

- formation energy (eV/atom) = 0.2686
- DOS at the Fermi energy (states/eV per cell) = 6.4
- size of the total moment (μB/f.u.) = 0.000
- polymorph energy (0 for the lowest one) (kJ/mol of atoms) = 10.2


Entry 25:
Compound: AlZn3Cu4
Source: the Alexandria database
Functional: PBE-GGA
Structure: optimized geometry

Lattice parameters (Å, degrees): 5.7634 6.4214 5.7050 90.00 90.00 90.00
Atoms (fractional coordinates):
Cu1 0.8223 0.5230 0.5000
Cu2 0.0427 0.2518 0.2456
Cu3 0.5427 0.7482 0.7456
Cu4 0.5427 0.7482 0.2544
Cu5 0.3199 0.0252 0.0000
Cu6 0.0427 0.2518 0.7544
Cu7 0.3223 0.4770 0.0000
Cu8 0.8199 0.9748 0.5000
Al1 0.8068 0.5168 0.0000
Al2 0.3068 0.4832 0.5000
Zn1 0.0872 0.7548 0.7594
Zn2 0.0872 0.7548 0.2406
Zn3 0.8064 0.9812 0.0000
Zn4 0.3064 0.0188 0.5000
Zn5 0.5872 0.2452 0.7406
Zn6 0.5872 0.2452 0.2594

- formation energy (eV/atom) = -0.0720
- DOS at the Fermi energy (states/eV per cell) = 3.3
- size of the total moment (μB/f.u.) = 0.000
- polymorph energy (0 for the lowest one) (kJ/mol of atoms) = 5.1


no.,calculated total energy (eV per formula unit)
1,-14.74
2,-25.21
3,-16.79
4,-24.15
5,-21.89
6,-38.74
7,-17.57
8,-21.38
9,-3.69
10,-25.33
11,-63.27
12,-23.05
13,-10.69
14,-17.05
15,-21.68
16,-17.81
17,-42.20
18,-25.42
19,-12.47
20,-19.38
21,-66.75
22,-25.54
23,-29.54
24,-13.87
25,-24.52